a) # PBE CeTm2Bi, optimized geometry
data_CeTm2Bi
_chemical_formula_sum 'Ce2 Tm4 Bi2'
_cell_length_a 7.068
_cell_length_b 4.734
_cell_length_c 7.094
_cell_angle_alpha 90.00
_cell_angle_beta 94.92
_cell_angle_gamma 90.00
_symmetry_space_group_name_H-M 'P 1 21/m 1'
_symmetry_Int_Tables_number 11
_symmetry_space_group_name_Hall '-P 2yb'
loop_
_atom_site_label
_atom_site_fract_x
_atom_site_fract_y
_atom_site_fract_z
_atom_site_occupancy
Ce1 0.114 0.250 0.357 1
Tm1 0.357 0.750 0.109 1
Tm2 0.377 0.750 0.615 1
Bi1 0.160 0.250 0.844 1
# Crystal system   monoclinic

b) # PBE CeTm2Bi, optimized geometry
data_CeTm2Bi
_chemical_formula_sum 'Ce1 Tm2 Bi1'
_cell_length_a 3.963
_cell_length_b 3.963
_cell_length_c 7.283
_cell_angle_alpha 90.00
_cell_angle_beta 90.00
_cell_angle_gamma 90.00
_symmetry_space_group_name_H-M 'P 4/m m m'
_symmetry_Int_Tables_number 123
_symmetry_space_group_name_Hall '-P 4 2'
loop_
_atom_site_label
_atom_site_fract_x
_atom_site_fract_y
_atom_site_fract_z
_atom_site_occupancy
Ce1 0.000 0.000 0.000 1
Tm1 0.500 0.500 0.269 1
Bi1 0.000 0.000 0.500 1
# Crystal system   tetragonal

c) # PBE CeTm2Bi, optimized geometry
data_CeTm2Bi
_chemical_formula_sum 'Ce1 Tm2 Bi1'
_cell_length_a 4.887
_cell_length_b 4.887
_cell_length_c 4.710
_cell_angle_alpha 90.00
_cell_angle_beta 90.00
_cell_angle_gamma 90.00
_symmetry_space_group_name_H-M 'P 4/m m m'
_symmetry_Int_Tables_number 123
_symmetry_space_group_name_Hall '-P 4 2'
loop_
_atom_site_label
_atom_site_fract_x
_atom_site_fract_y
_atom_site_fract_z
_atom_site_occupancy
Ce1 0.000 0.000 0.000 1
Tm1 0.000 0.500 0.500 1
Bi1 0.500 0.500 0.000 1
# Crystal system   tetragonal

d) # PBE CeTm2Bi, optimized geometry
data_CeTm2Bi
_chemical_formula_sum 'Ce3 Tm6 Bi3'
_cell_length_a 3.5419
_cell_length_b 3.5419
_cell_length_c 32.5772
_cell_angle_alpha 90.00
_cell_angle_beta 90.00
_cell_angle_gamma 120.00
_symmetry_space_group_name_H-M 'R -3 m'
_symmetry_Int_Tables_number 166
_symmetry_space_group_name_Hall '-R 3 2"'
loop_
_atom_site_label
_atom_site_fract_x
_atom_site_fract_y
_atom_site_fract_z
_atom_site_occupancy
Ce1 0.0000 0.0000 0.0000 1
Tm1 0.0000 0.0000 0.2477 1
Bi1 0.0000 0.0000 0.5000 1
# Crystal system   trigonal

Which structure is most stable? c), by 20 meV/atom over the runner-up.

a) # PBE Ce2TmBi, optimized geometry
data_Ce2TmBi
_chemical_formula_sum 'Ce6 Tm3 Bi3'
_cell_length_a 3.4316
_cell_length_b 3.4316
_cell_length_c 36.9207
_cell_angle_alpha 90.00
_cell_angle_beta 90.00
_cell_angle_gamma 120.00
_symmetry_space_group_name_H-M 'R -3 m'
_symmetry_Int_Tables_number 166
_symmetry_space_group_name_Hall '-R 3 2"'
loop_
_atom_site_label
_atom_site_fract_x
_atom_site_fract_y
_atom_site_fract_z
_atom_site_occupancy
Ce1 0.0000 0.0000 0.0884 1
Tm1 0.0000 0.0000 0.5000 1
Bi1 0.0000 0.0000 0.0000 1
# Crystal system   trigonal

b) # PBE Ce2TmBi, optimized geometry
data_Ce2TmBi
_chemical_formula_sum 'Ce2 Tm1 Bi1'
_cell_length_a 4.611
_cell_length_b 4.611
_cell_length_c 5.198
_cell_angle_alpha 90.00
_cell_angle_beta 90.00
_cell_angle_gamma 90.00
_symmetry_space_group_name_H-M 'P 4/m m m'
_symmetry_Int_Tables_number 123
_symmetry_space_group_name_Hall '-P 4 2'
loop_
_atom_site_label
_atom_site_fract_x
_atom_site_fract_y
_atom_site_fract_z
_atom_site_occupancy
Ce1 0.000 0.500 0.000 1
Tm1 0.000 0.000 0.500 1
Bi1 0.500 0.500 0.500 1
# Crystal system   tetragonal

c) # PBE Ce2TmBi, optimized geometry
data_Ce2TmBi
_chemical_formula_sum 'Ce4 Tm2 Bi2'
_cell_length_a 4.457
_cell_length_b 4.365
_cell_length_c 11.717
_cell_angle_alpha 90.00
_cell_angle_beta 100.71
_cell_angle_gamma 90.00
_symmetry_space_group_name_H-M 'P 1 21/m 1'
_symmetry_Int_Tables_number 11
_symmetry_space_group_name_Hall '-P 2yb'
loop_
_atom_site_label
_atom_site_fract_x
_atom_site_fract_y
_atom_site_fract_z
_atom_site_occupancy
Ce1 0.000 0.250 0.118 1
Ce2 0.405 0.250 0.889 1
Tm1 0.305 0.750 0.614 1
Bi1 0.177 0.750 0.341 1
# Crystal system   monoclinic

Which structure is most stable? c), by 34 meV/atom over the runner-up.

a) # PBE CeUBi2, optimized geometry
data_CeUBi2
_chemical_formula_sum 'Ce4 U4 Bi8'
_cell_length_a 7.769
_cell_length_b 7.769
_cell_length_c 7.769
_cell_angle_alpha 90.00
_cell_angle_beta 90.00
_cell_angle_gamma 90.00
_symmetry_space_group_name_H-M 'F m -3 m'
_symmetry_Int_Tables_number 225
_symmetry_space_group_name_Hall '-F 4 2 3'
loop_
_atom_site_label
_atom_site_fract_x
_atom_site_fract_y
_atom_site_fract_z
_atom_site_occupancy
Ce1 0.000 0.000 0.000 1
U1 0.000 0.000 0.500 1
Bi1 0.250 0.250 0.250 1
# Crystal system   cubic

b) # PBE CeUBi2, optimized geometry
data_CeUBi2
_chemical_formula_sum 'Ce3 U3 Bi6'
_cell_length_a 3.3267
_cell_length_b 3.3267
_cell_length_c 36.6487
_cell_angle_alpha 90.00
_cell_angle_beta 90.00
_cell_angle_gamma 120.00
_symmetry_space_group_name_H-M 'R -3 m'
_symmetry_Int_Tables_number 166
_symmetry_space_group_name_Hall '-R 3 2"'
loop_
_atom_site_label
_atom_site_fract_x
_atom_site_fract_y
_atom_site_fract_z
_atom_site_occupancy
Ce1 0.0000 0.0000 0.0000 1
U1 0.0000 0.0000 0.5000 1
Bi1 0.0000 0.0000 0.0903 1
# Crystal system   trigonal

Which structure is most stable? a), by 383 meV/atom over the runner-up.